# PBE-GGA MnAlCl2, relaxed
# **E above lowest polymorph**: 0.0000 eV per atom
# **E_form (uncorrected)**: -0.63 eV per atom
data_MnAlCl2
_symmetry_space_group_name_H-M 'R 3 m'
_symmetry_Int_Tables_number 160
_symmetry_space_group_name_Hall 'R 3 -2"'
_cell_length_a 3.3360
_cell_length_b 3.3360
_cell_length_c 26.4957
_cell_angle_alpha 90.00
_cell_angle_beta 90.00
_cell_angle_gamma 120.00
loop_
_atom_site_label
_atom_site_type_symbol
_atom_site_fract_x
_atom_site_fract_y
_atom_site_fract_z
_atom_site_occupancy
Mn1 Mn 0.0000 0.0000 0.0000 1
Al1 Al 0.0000 0.0000 0.7382 1
Cl1 Cl 0.0000 0.0000 0.2764 1
Cl2 Cl 0.0000 0.0000 0.4668 1


# PBE-GGA AcNd6Mg, relaxed
# **Energy of formation**: 25 meV/atom
data_AcNd6Mg
_symmetry_space_group_name_H-M 'P 4/m m m'
_symmetry_Int_Tables_number 123
_symmetry_space_group_name_Hall '-P 4 2'
_cell_length_a 5.1836
_cell_length_b 5.1836
_cell_length_c 10.3500
_cell_angle_alpha 90.00
_cell_angle_beta 90.00
_cell_angle_gamma 90.00
loop_
_atom_site_label
_atom_site_type_symbol
_atom_site_fract_x
_atom_site_fract_y
_atom_site_fract_z
_atom_site_occupancy
Ac1 Ac 0.0000 0.0000 0.0000 1
Nd1 Nd 0.0000 0.5000 0.2596 1
Nd2 Nd 0.5000 0.5000 0.0000 1
Nd3 Nd 0.5000 0.5000 0.5000 1
Mg1 Mg 0.0000 0.0000 0.5000 1


# PBE-GGA YMn3Si, relaxed
# **E above lowest polymorph**: 1.5789 eV per atom
# **E_form (uncorrected)**: 1.82 eV per atom
data_YMn3Si
_symmetry_space_group_name_H-M 'P m -3 m'
_symmetry_Int_Tables_number 221
_symmetry_space_group_name_Hall '-P 4 2 3'
_cell_length_a 4.8771
_cell_length_b 4.8771
_cell_length_c 4.8771
_cell_angle_alpha 90.00
_cell_angle_beta 90.00
_cell_angle_gamma 90.00
loop_
_atom_site_label
_atom_site_type_symbol
_atom_site_fract_x
_atom_site_fract_y
_atom_site_fract_z
_atom_site_occupancy
Y1 Y 0.0000 0.0000 0.0000 1
Mn1 Mn 0.0000 0.0000 0.5000 1
Si1 Si 0.5000 0.5000 0.5000 1


> Number 2 is which compound?

AcNd6Mg